[1]
Density functional theory data (GGA-PBE) for a relaxed Ce2GaCo4Ge3 crystal.

Unit cell a=4.0289 b=4.0289 c=9.9679 alpha=90.00 beta=90.00 gamma=90.00
Last column: nearest neighbours and their distance in Å.
Sites, in units of the cell vectors:
Ce  0.0000  0.5000  0.2458  8 Co 3.05-3.24, 6 Ge 3.12-3.17, 2 Ga 3.17
Ce  0.5000  0.0000  0.7542  8 Co 3.05-3.24, 6 Ge 3.12-3.17, 2 Ga 3.17
Ga  0.5000  0.5000  0.0000  4 Co 2.43
Co  0.0000  0.0000  0.5000  4 Ge 2.38
Co  0.0000  0.5000  0.8632  3 Ge 2.35-2.43, 2 Ga 2.43
Co  0.5000  0.0000  0.1368  3 Ge 2.35-2.43, 2 Ga 2.43
Co  0.5000  0.5000  0.5000  4 Ge 2.38
Ge  0.0000  0.0000  0.0000  4 Co 2.43
Ge  0.0000  0.5000  0.6270  5 Co 2.35-2.38
Ge  0.5000  0.0000  0.3730  5 Co 2.35-2.38

Computed properties:
For the total energy, the calculation gives -6.27 eV per atom. The space-group type is P-4m2.

***

[2]
Density functional theory data (GGA-PBE) for a relaxed LiRuBr crystal.

Unit cell a=4.2471 b=4.2471 c=4.2471 alpha=60.00 beta=60.00 gamma=60.00
Last column: nearest neighbours and their distance in Å.
Sites, in units of the cell vectors:
Li  0.0000  0.0000  0.0000  4 Ru 2.60
Ru  0.2500  0.2500  0.2500  4 Br 2.60, 4 Li 2.60
Br  0.5000  0.5000  0.5000  4 Ru 2.60

Computed properties:
As for the formation energy from raw total energies: 561 meV/atom. For the total energy, the calculation gives -3.73 eV per atom. The space-group type is F-43m.

***

[3]
Density functional theory data (GGA-PBE) for a relaxed TlInSe2O8 crystal.

Unit cell a=5.2163 b=5.2163 c=8.5421 alpha=93.73 beta=93.73 gamma=65.73
Last column: nearest neighbours and their distance in Å.
Sites, in units of the cell vectors:
Tl  0.0000  0.0000  0.0000  6 O 2.93-3.03
In  0.0000  0.0000  0.5000  6 O 2.16-2.19
Se  0.3719  0.3719  0.7016  4 O 1.64-1.70
Se  0.6281  0.6281  0.2984  4 O 1.64-1.70
O  0.2448  0.7262  0.6888  1 Se 1.70
O  0.2462  0.2462  0.5431  1 Se 1.68
O  0.2738  0.7552  0.3112  1 Se 1.70
O  0.3024  0.3024  0.8749  1 Se 1.64
O  0.6976  0.6976  0.1251  1 Se 1.64
O  0.7262  0.2448  0.6888  1 Se 1.70
O  0.7538  0.7538  0.4569  1 Se 1.68
O  0.7552  0.2738  0.3112  1 Se 1.70

Computed properties:
As for the formation energy from raw total energies: -896 meV/atom. For the total energy, the calculation gives -5.21 eV per atom. The space-group type is C2/m.

***

[4]
Density functional theory data (GGA-PBE) for a relaxed AlPtO2 crystal.

Unit cell a=2.8380 b=2.8380 c=6.5431 alpha=103.23 beta=103.23 gamma=58.38
Last column: nearest neighbours and their distance in Å.
Sites, in units of the cell vectors:
Al  0.0000  0.0000  0.0000  6 O 1.90
Pt  0.0000  0.0000  0.5000  4 O 2.57, 6 Pt 2.77-2.84
O  0.3823  0.3823  0.1561  3 Al 1.90
O  0.6177  0.6177  0.8439  3 Al 1.90

Computed properties:
As for the formation energy from raw total energies: -1459 meV/atom. For the total energy, the calculation gives -6.38 eV per atom. The space-group type is C2/m.

***

[5]
Density functional theory data (GGA-PBE) for a relaxed Tb4SiI5 crystal.

Unit cell a=9.8015 b=9.8015 c=8.8370 alpha=102.29 beta=102.29 gamma=24.76
Last column: nearest neighbours and their distance in Å.
Sites, in units of the cell vectors:
Tb  0.9997  0.9997  0.2095  2 Si 2.80, 1 I 3.14
Tb  0.0003  0.0003  0.7905  2 Si 2.80, 1 I 3.14
Tb  0.3547  0.3547  0.9273  1 Si 2.72
Tb  0.6453  0.6453  0.0727  1 Si 2.72
Si  0.5000  0.5000  0.0000  6 Tb 2.72-2.80
I  0.1661  0.1661  0.3357  3 Tb 3.09-3.14
I  0.1717  0.1717  0.8278  4 Tb 3.14-3.42
I  0.5000  0.5000  0.5000  4 Tb 3.32
I  0.8283  0.8283  0.1722  4 Tb 3.14-3.42
I  0.8339  0.8339  0.6643  3 Tb 3.09-3.14

Computed properties:
As for the formation energy from raw total energies: -1183 meV/atom. For the total energy, the calculation gives -4.35 eV per atom. The space-group type is C2/m.

***

[6]
Density functional theory data (GGA-PBE) for a relaxed La6Sn3Pb crystal.

Unit cell a=9.5945 b=9.5945 c=8.2072 alpha=90.00 beta=90.00 gamma=112.29
Last column: nearest neighbours and their distance in Å.
Sites, in units of the cell vectors:
La  0.0225  0.9775  0.5000  2 Pb 3.23-3.60, 4 Sn 3.30-3.31, 2 La 3.37
La  0.0992  0.5088  0.9976  3 Sn 3.21-3.27, 1 Pb 3.46, 1 La 3.58
La  0.2405  0.3238  0.6352  4 Sn 3.22-3.47, 2 La 3.37-3.59
La  0.2898  0.7102  0.5750  1 Pb 3.42, 3 Sn 3.49-3.67, 4 La 3.58-3.59
La  0.3238  0.2405  0.1352  4 Sn 3.22-3.47, 2 La 3.37-3.59
La  0.4912  0.9008  0.9976  3 Sn 3.21-3.27, 1 Pb 3.46, 1 La 3.58
La  0.5088  0.0992  0.4976  3 Sn 3.21-3.27, 1 Pb 3.46, 1 La 3.58
La  0.6762  0.7595  0.6352  4 Sn 3.22-3.47, 2 La 3.37-3.59
La  0.7102  0.2898  0.0750  1 Pb 3.42, 3 Sn 3.49-3.67, 4 La 3.58-3.59
La  0.7595  0.6762  0.1352  4 Sn 3.22-3.47, 2 La 3.37-3.59
La  0.9008  0.4912  0.4976  3 Sn 3.21-3.27, 1 Pb 3.46, 1 La 3.58
La  0.9775  0.0225  0.0000  2 Pb 3.23-3.60, 4 Sn 3.30-3.31, 2 La 3.37
Sn  0.0160  0.2709  0.2917  1 Sn 3.07, 5 La 3.21-3.33
Sn  0.2709  0.0160  0.7917  1 Sn 3.07, 5 La 3.21-3.33
Sn  0.4456  0.5544  0.9047  6 La 3.22-3.37
Sn  0.5544  0.4456  0.4047  6 La 3.22-3.37
Sn  0.7291  0.9840  0.2917  1 Sn 3.07, 5 La 3.21-3.33
Sn  0.9840  0.7291  0.7917  1 Sn 3.07, 5 La 3.21-3.33
Pb  0.1701  0.8299  0.2297  5 La 3.23-3.60
Pb  0.8299  0.1701  0.7297  5 La 3.23-3.60

Computed properties:
For the total energy, the calculation gives -5.03 eV per atom. The space-group type is Cmc2_1.

***

[7]
Density functional theory data (GGA-PBE) for a relaxed NaScSi crystal.

Unit cell a=4.6280 b=4.6280 c=6.4880 alpha=90.00 beta=90.00 gamma=119.85
Last column: nearest neighbours and their distance in Å.
Sites, in units of the cell vectors:
Na  0.1663  0.8337  0.7500  3 Si 2.67
Na  0.8337  0.1663  0.2500  3 Si 2.67
Sc  0.5000  0.5000  0.0000  6 Si 3.12-3.13, 6 Na 3.13, 2 Sc 3.24
Sc  0.5000  0.5000  0.5000  6 Si 3.12-3.13, 6 Na 3.13, 2 Sc 3.24
Si  0.1674  0.8326  0.2500  3 Na 2.67
Si  0.8326  0.1674  0.7500  3 Na 2.67

Computed properties:
As for the formation energy from raw total energies: -56 meV/atom. For the total energy, the calculation gives -4.41 eV per atom. The space-group type is Cmcm.

***

[8]
Density functional theory data (GGA-PBE) for a relaxed TiPPd2I crystal.

Unit cell a=4.8895 b=4.8895 c=5.1084 alpha=90.00 beta=90.00 gamma=90.00
Last column: nearest neighbours and their distance in Å.
Sites, in units of the cell vectors:
Ti  0.0000  0.0000  0.0000  2 I 2.55
P  0.5000  0.5000  0.0000  4 Ti 3.46, 8 Pd 3.54
Pd  0.0000  0.5000  0.5000  2 I 2.44
Pd  0.5000  0.0000  0.5000  2 I 2.44
I  0.0000  0.0000  0.5000  4 Pd 2.44, 2 Ti 2.55

Computed properties:
As for the formation energy from raw total energies: 965 meV/atom. For the total energy, the calculation gives -4.08 eV per atom. The space-group type is P4/mmm.

***

[9]
Density functional theory data (GGA-PBE) for a relaxed Ba2HgPdBr crystal.

Unit cell a=6.1252 b=6.1252 c=5.2673 alpha=90.00 beta=90.00 gamma=90.00
Last column: nearest neighbours and their distance in Å.
Sites, in units of the cell vectors:
Ba  0.0000  0.5000  0.0000  2 Pd 3.06
Ba  0.5000  0.0000  0.0000  2 Pd 3.06
Hg  0.0000  0.0000  0.5000  2 Pd 2.63
Pd  0.0000  0.0000  0.0000  2 Hg 2.63
Br  0.5000  0.5000  0.5000  8 Ba 4.04, 4 Hg 4.33

Computed properties:
As for the formation energy from raw total energies: -810 meV/atom. For the total energy, the calculation gives -3.01 eV per atom. The space-group type is P4/mmm.

***

[10]
Density functional theory data (GGA-PBE) for a relaxed NaTl2GeAu2 crystal.

Unit cell a=4.6715 b=8.0893 c=7.6792 alpha=90.00 beta=90.00 gamma=90.00
Last column: nearest neighbours and their distance in Å.
Sites, in units of the cell vectors:
Na  0.0000  0.0558  0.0000  6 Au 3.02-3.29, 2 Ge 3.17, 1 Tl 3.32
Na  0.0000  0.9442  0.5000  6 Au 3.02-3.29, 2 Ge 3.17, 1 Tl 3.32
Tl  0.0000  0.3425  0.3097  4 Au 2.99-3.05, 1 Na 3.32
Tl  0.0000  0.6575  0.8097  4 Au 2.99-3.05, 1 Na 3.32
Tl  0.5000  0.3988  0.9866  2 Ge 3.27-3.59, 3 Au 3.29-3.37, 4 Tl 3.42-3.44, 2 Na 3.63
Tl  0.5000  0.6012  0.4866  2 Ge 3.27-3.59, 3 Au 3.29-3.37, 4 Tl 3.42-3.44, 2 Na 3.63
Ge  0.5000  0.1788  0.6289  4 Au 2.60-2.65
Ge  0.5000  0.8212  0.1289  4 Au 2.60-2.65
Au  0.0000  0.3013  0.7038  2 Ge 2.60
Au  0.0000  0.6987  0.2038  2 Ge 2.60
Au  0.5000  0.1012  0.2940  2 Ge 2.60-2.65
Au  0.5000  0.8988  0.7940  2 Ge 2.60-2.65

Computed properties:
For the total energy, the calculation gives -3.02 eV per atom. The space-group type is Pmc2_1.